# 1
Material: MnNi2Pt
Method: DFT, PBE
State: optimized geometry

V   103.4 Å³/cell
E_form   -0.14 eV/atom

Cell lengths 5.2931, 7.1422, 2.7345 Å; angles 90.00, 90.00, 90.00 degrees
With the nearest neighbours (Å) after each atom.
Space group Cmmm (No. 65)
Unique sites:
Mn: 0.0000 0.0000 0.0000 x2  8 Ni 2.61, 2 Pt 2.65, 2 Mn 2.73
Ni: 0.2500 0.2500 0.5000 x4  4 Mn 2.61, 4 Pt 2.61, 4 Ni 2.65-2.73
Pt: 0.0000 0.5000 0.0000 x2  8 Ni 2.61, 2 Mn 2.65, 2 Pt 2.73

# 2
Material: KPmInSe3
Method: DFT, PBE
State: optimized geometry

V   405.3 Å³/cell
Energy relative to the elements, uncorrected   -1.177 eV per atom

Cell lengths 8.8199, 4.6924, 10.1610 Å; angles 90.00, 105.48, 90.00 degrees
With the nearest neighbours (Å) after each atom.
Space group P2_1/m (No. 11)
Unique sites:
K: 0.2074 0.2500 0.2239 x2  5 Se 3.43-3.61
Pm: 0.3342 0.7500 0.8627 x2  6 Se 2.87-3.11
In: 0.1100 0.2500 0.5928 x2  3 Se 2.68-2.71
Se: 0.1050 0.2500 0.8554 x2  1 In 2.68
Se: 0.2398 0.7500 0.5456 x2  3 In 2.71-3.03
Se: 0.4593 0.7500 0.1537 x2  3 Pm 2.87-3.00

# 3
Material: BeRh2Se
Method: DFT, PBE
State: optimized geometry

V   53.3 Å³/cell
Energy relative to the elements, uncorrected   -0.205 eV per atom
Excess energy over the best structure of this formula in the dataset   0 meV/atom

Cell lengths 2.9375, 2.9375, 6.1812 Å; angles 90.00, 90.00, 90.00 degrees
With the nearest neighbours (Å) after each atom.
Space group P4/mmm (No. 123)
Unique sites:
Be: 0.0000 0.0000 0.0000 x1  8 Rh 2.48
Rh: 0.5000 0.5000 0.2205 x2  4 Be 2.48, 4 Se 2.70, 1 Rh 2.73
Se: 0.0000 0.0000 0.5000 x1  8 Rh 2.70, 4 Se 2.94

# 4
Material: Ce3GeS2
Method: DFT, PBE
State: optimized geometry

V   293.6 Å³/cell
Energy relative to the elements, uncorrected   -1.610 eV per atom
Excess energy over the best structure of this formula in the dataset   0 meV/atom

Cell lengths 4.1213, 5.8023, 12.2763 Å; angles 90.00, 90.00, 90.00 degrees
With the nearest neighbours (Å) after each atom.
Space group Immm (No. 71)
Unique sites:
Ce: 0.0000 0.0000 0.0000 x2  4 S 2.89, 2 Ge 2.90
Ce: 0.0000 0.0000 0.3275 x4  4 S 2.87-2.90, 2 Ge 2.95
Ge: 0.0000 0.5000 0.0000 x2  6 Ce 2.90-2.95
S: 0.0000 0.5000 0.3355 x4  6 Ce 2.87-2.90

# 5
Material: Na2Cd2Hg
Method: DFT, PBE
State: optimized geometry

V   285.7 Å³/cell
E_form   -0.03 eV/atom
Excess energy over the best structure of this formula in the dataset   102 meV/atom

Cell lengths 9.2095, 9.2095, 3.3682 Å; angles 90.00, 90.00, 90.00 degrees
With the nearest neighbours (Å) after each atom.
Space group P4/mbm (No. 127)
Unique sites:
Na: 0.1829 0.3171 0.0000 x4  6 Cd 3.14-3.27, 2 Na 3.37, 2 Hg 3.37
Cd: 0.1139 0.6139 0.5000 x4  1 Cd 2.97, 6 Na 3.14-3.27
Hg: 0.0000 0.0000 0.0000 x2  2 Hg 3.37, 4 Na 3.37

# 6
Material: Hf6TcSb2
Method: DFT, PBE
State: optimized geometry

V   491.0 Å³/cell
Energy relative to the elements, uncorrected   0.357 eV per atom

Cell lengths 6.0306, 6.0306, 13.5016 Å; angles 90.00, 90.00, 90.00 degrees
With the nearest neighbours (Å) after each atom.
Space group P4_2/mnm (No. 136)
Unique sites:
Hf: 0.1818 0.1818 0.1414 x8  1 Tc 2.46
Hf: 0.1988 0.1988 0.5000 x4  1 Tc 2.57
Tc: 0.0000 0.0000 0.0000 x2  6 Hf 2.46-2.57
Sb: 0.0000 0.0000 0.3205 x4  6 Hf 2.76-2.96

# 7
Material: Sm12Dy3Tl
Method: DFT, PBE
State: optimized geometry

V   520.1 Å³/cell
E_form   -0.03 eV/atom

Cell lengths 5.0395, 5.0395, 20.4777 Å; angles 90.00, 90.00, 90.00 degrees
With the nearest neighbours (Å) after each atom.
Space group P4/mmm (No. 123)
Unique sites:
Sm: 0.0000 0.0000 0.0000 x1  8 Sm 3.55, 4 Tl 3.56
Sm: 0.0000 0.0000 0.2463 x2  4 Dy 3.56, 8 Sm 3.58-3.63
Sm: 0.0000 0.0000 0.5000 x1  4 Dy 3.56, 8 Sm 3.61
Sm: 0.0000 0.5000 0.1218 x4  2 Tl 3.55, 8 Sm 3.55-3.58, 2 Dy 3.62
Sm: 0.0000 0.5000 0.3738 x4  8 Sm 3.56-3.63, 4 Dy 3.60-3.61
Dy: 0.5000 0.5000 0.2486 x2  12 Sm 3.56-3.62
Dy: 0.5000 0.5000 0.5000 x1  12 Sm 3.56-3.61
Tl: 0.5000 0.5000 0.0000 x1  12 Sm 3.55-3.56

# 8
Material: Ca2In5Ag3
Method: DFT, PBE
State: optimized geometry

V   1010.0 Å³/cell
E_form   -0.24 eV/atom
Excess energy over the best structure of this formula in the dataset   37 meV/atom

Cell lengths 12.6050, 12.7386, 6.2901 Å; angles 90.00, 90.00, 90.00 degrees
With the nearest neighbours (Å) after each atom.
Space group Ibam (No. 72)
Unique sites:
Ca: 0.1320 0.2401 0.0000 x8  4 In 3.34-3.47, 4 Ag 3.39-3.52
In: 0.0000 0.0000 0.2500 x4  4 Ag 2.87, 2 In 3.15
In: 0.1081 0.3503 0.5000 x8  3 Ag 2.70-2.82, 2 In 3.00
In: 0.2434 0.5000 0.2500 x8  3 Ag 2.87-3.07, 4 In 3.00-3.15
Ag: 0.0000 0.5000 0.2500 x4  6 In 2.82-3.07, 2 Ag 3.15
Ag: 0.1282 0.1395 0.5000 x8  5 In 2.70-2.87